Version P
## Rb2NaTlAu (PBE-GGA)

Data for crystalline Rb2NaTlAu at its relaxed geometry. Values from VASP.

```
&SYSTEM
  ibrav = 0, nat = 5, ntyp = 4
/
ATOMIC_SPECIES
Rb 85.47 Rb.upf
Na 22.99 Na.upf
Tl 204.38 Tl.upf
Au 196.97 Au.upf
CELL_PARAMETERS angstrom
6.586 0.000 0.000
0.000 6.586 0.000
0.000 0.000 5.673
ATOMIC_POSITIONS crystal
Rb 0.000 0.500 0.000
Rb 0.500 0.000 0.000
Na 0.000 0.000 0.500
Tl 0.500 0.500 0.500
Au 0.000 0.000 0.000
```

Output
The total magnetization is 0.0000 μB/atom.



Version Q
## Rb2NaTlAu (PBE-GGA)

Data for crystalline Rb2NaTlAu at its relaxed geometry. Values from VASP.

```
&SYSTEM
  ibrav = 0, nat = 5, ntyp = 4
/
ATOMIC_SPECIES
Rb 85.47 Rb.upf
Na 22.99 Na.upf
Tl 204.38 Tl.upf
Au 196.97 Au.upf
CELL_PARAMETERS angstrom
6.617 0.000 0.000
0.000 6.617 0.000
0.000 0.000 5.805
ATOMIC_POSITIONS crystal
Rb 0.000 0.500 0.000
Rb 0.500 0.000 0.000
Na 0.000 0.000 0.500
Tl 0.500 0.500 0.500
Au 0.500 0.500 0.000
```

Output
The total magnetization is 0.0000 μB/atom.



Stability summary: most stable version Q, least stable version P.



Version P
## RbNa2TlAu (PBE-GGA)

Data for crystalline RbNa2TlAu at its relaxed geometry. Values from VASP.

```
&SYSTEM
  ibrav = 0, nat = 5, ntyp = 4
/
ATOMIC_SPECIES
Rb 85.47 Rb.upf
Na 22.99 Na.upf
Tl 204.38 Tl.upf
Au 196.97 Au.upf
CELL_PARAMETERS angstrom
5.754 0.000 0.000
0.000 5.754 0.000
0.000 0.000 5.769
ATOMIC_POSITIONS crystal
Rb 0.000 0.000 0.000
Na 0.000 0.500 0.500
Na 0.500 0.000 0.500
Tl 0.500 0.500 0.000
Au 0.500 0.500 0.500
```

Output
The total magnetization is 0.0000 μB/atom.



Version Q
## RbNa2TlAu (PBE-GGA)

Data for crystalline RbNa2TlAu at its relaxed geometry. Values from VASP.

```
&SYSTEM
  ibrav = 0, nat = 5, ntyp = 4
/
ATOMIC_SPECIES
Rb 85.47 Rb.upf
Na 22.99 Na.upf
Tl 204.38 Tl.upf
Au 196.97 Au.upf
CELL_PARAMETERS angstrom
6.029 0.000 0.000
0.000 6.029 0.000
0.000 0.000 5.384
ATOMIC_POSITIONS crystal
Rb 0.000 0.000 0.000
Na 0.000 0.500 0.500
Na 0.500 0.000 0.500
Tl 0.500 0.500 0.500
Au 0.500 0.500 0.000
```

Output
The total magnetization is 0.0000 μB/atom.



Stability summary: most stable version P, least stable version Q.



Version P
## RbNa2ZnAu (PBE-GGA)

Data for crystalline RbNa2ZnAu at its relaxed geometry. Values from VASP.

```
&SYSTEM
  ibrav = 0, nat = 5, ntyp = 4
/
ATOMIC_SPECIES
Rb 85.47 Rb.upf
Na 22.99 Na.upf
Zn 65.41 Zn.upf
Au 196.97 Au.upf
CELL_PARAMETERS angstrom
5.697 0.000 0.000
0.000 5.697 0.000
0.000 0.000 5.075
ATOMIC_POSITIONS crystal
Rb 0.000 0.000 0.000
Na 0.000 0.500 0.500
Na 0.500 0.000 0.500
Zn 0.500 0.500 0.500
Au 0.500 0.500 0.000
```

Output
The total magnetization is 0.0000 μB/atom.



Version Q
## RbNa2ZnAu (PBE-GGA)

Data for crystalline RbNa2ZnAu at its relaxed geometry. Values from VASP.

```
&SYSTEM
  ibrav = 0, nat = 5, ntyp = 4
/
ATOMIC_SPECIES
Rb 85.47 Rb.upf
Na 22.99 Na.upf
Zn 65.41 Zn.upf
Au 196.97 Au.upf
CELL_PARAMETERS angstrom
5.743 0.000 0.000
0.000 5.743 0.000
0.000 0.000 5.121
ATOMIC_POSITIONS crystal
Rb 0.000 0.000 0.000
Na 0.000 0.500 0.500
Na 0.500 0.000 0.500
Zn 0.500 0.500 0.000
Au 0.500 0.500 0.500
```

Output
The total magnetization is 0.0000 μB/atom.



Stability summary: most stable version Q, least stable version P.



Version P
## RbNaZnAu (PBE-GGA)

Data for crystalline RbNaZnAu at its relaxed geometry. Values from VASP.

```
&SYSTEM
  ibrav = 0, nat = 4, ntyp = 4
/
ATOMIC_SPECIES
Rb 85.47 Rb.upf
Na 22.99 Na.upf
Zn 65.41 Zn.upf
Au 196.97 Au.upf
CELL_PARAMETERS angstrom
3.991 -2.304 0.000
3.991 2.304 0.000
-2.642 0.000 7.395
ATOMIC_POSITIONS crystal
Rb 0.000 0.000 0.000
Na 0.820 0.820 0.457
Zn 0.221 0.221 0.663
Au 0.555 0.555 0.663
```

Output
The total magnetization is 0.0000 μB/atom.



Version Q
## RbNaZnAu (PBE-GGA)

Data for crystalline RbNaZnAu at its relaxed geometry. Values from VASP.

```
&SYSTEM
  ibrav = 0, nat = 4, ntyp = 4
/
ATOMIC_SPECIES
Rb 85.47 Rb.upf
Na 22.99 Na.upf
Zn 65.41 Zn.upf
Au 196.97 Au.upf
CELL_PARAMETERS angstrom
0.000 3.967 3.967
3.967 0.000 3.967
3.967 3.967 0.000
ATOMIC_POSITIONS crystal
Rb 0.000 0.000 0.000
Na 0.500 0.500 0.500
Zn 0.750 0.750 0.750
Au 0.250 0.250 0.250
```

Output
The total magnetization is 0.0000 μB/atom.



Stability summary: most stable version P, least stable version Q.